# 1
The following is a PBE calculation of a relaxed LaSmTaN3 crystal, from Alexandria via LeMat-Bulk.

As for the formation energy from raw total energies: -1.074 eV/atom.

The structure belongs to space group P2_1/m (No. 11); the cell edges are 7.743, 3.582 and 7.921 Å and the angles 90.00°, 95.29° and 90.00°. Symmetry generates all atoms from La at (0.167, 0.250, 0.161), Sm at (0.388, 0.750, 0.836), Ta at (0.111, 0.250, 0.594), N at (0.122, 0.250, 0.841), N at (0.166, 0.750, 0.487) and N at (0.387, 0.750, 0.126).


# 2
The following is a PBE calculation of a relaxed LaSm2TaN4 crystal, from Alexandria via LeMat-Bulk.

As for the formation energy from raw total energies: -1.231 eV/atom.

The structure belongs to space group Cmcm (No. 63); the cell edges are 3.486, 12.306 and 12.399 Å and the angles 90.00°, 90.00° and 90.00°. Symmetry generates all atoms from La at (0.000, 0.094, 0.250), Sm at (0.000, 0.370, 0.035), Ta at (0.000, 0.167, 0.750), N at (0.000, 0.000, 0.000), N at (0.000, 0.263, 0.627) and N at (0.000, 0.429, 0.250).


# 3
The following is a PBE calculation of a relaxed La2SmTaN4 crystal, from Alexandria via LeMat-Bulk.

As for the formation energy from raw total energies: -1.287 eV/atom.

The structure belongs to space group Imma (No. 74); the cell edges are 6.912, 7.110 and 9.941 Å and the angles 90.00°, 90.00° and 90.00°. Symmetry generates all atoms from La at (0.000, 0.000, 0.000), La at (0.250, 0.250, 0.250), Sm at (0.000, 0.000, 0.500), Ta at (0.250, 0.250, 0.750), N at (0.000, 0.040, 0.748) and N at (0.244, 0.250, 0.533).


# 4
The following is a PBE calculation of a relaxed La2SmTcN4 crystal, from Alexandria via LeMat-Bulk.

As for the formation energy from raw total energies: -0.891 eV/atom.

The structure belongs to space group Cmcm (No. 63); the cell edges are 3.536, 12.181 and 12.357 Å and the angles 90.00°, 90.00° and 90.00°. Symmetry generates all atoms from La at (0.000, 0.132, 0.040), Sm at (0.000, 0.372, 0.250), Tc at (0.000, 0.353, 0.750), N at (0.000, 0.073, 0.250), N at (0.000, 0.228, 0.641) and N at (0.000, 0.500, 0.000).


# 5
The following is a PBE calculation of a relaxed LaSm2TcN4 crystal, from Alexandria via LeMat-Bulk.

As for the formation energy from raw total energies: -1.006 eV/atom.

The structure belongs to space group Cmcm (No. 63); the cell edges are 3.537, 12.014 and 11.923 Å and the angles 90.00°, 90.00° and 90.00°. Symmetry generates all atoms from La at (0.000, 0.119, 0.250), Sm at (0.000, 0.368, 0.041), Tc at (0.000, 0.148, 0.750), N at (0.000, 0.000, 0.000), N at (0.000, 0.266, 0.631) and N at (0.000, 0.429, 0.250).


# 6
The following is a PBE calculation of a relaxed La4Sm2Te3N2 crystal, from Alexandria via LeMat-Bulk.

As for the formation energy from raw total energies: -1.230 eV/atom.

The structure belongs to space group I4/mmm (No. 139); the cell edges are 4.748, 4.748 and 27.109 Å and the angles 90.00°, 90.00° and 90.00°. Symmetry generates all atoms from La at (0.000, 0.500, 0.086), Sm at (0.000, 0.000, 0.196), Te at (0.000, 0.000, 0.319), Te at (0.000, 0.000, 0.500) and N at (0.000, 0.000, 0.112).


# 7
The following is a PBE calculation of a relaxed La2SmTe2N2 crystal, from Alexandria via LeMat-Bulk.

As for the formation energy from raw total energies: -1.224 eV/atom.

The structure belongs to space group I4/mmm (No. 139); the cell edges are 4.545, 4.545 and 16.579 Å and the angles 90.00°, 90.00° and 90.00°. Symmetry generates all atoms from La at (0.000, 0.000, 0.105), Sm at (0.000, 0.000, 0.500), Te at (0.000, 0.000, 0.313) and N at (0.000, 0.500, 0.000).


# 8
The following is a PBE calculation of a relaxed LaSmTeN crystal, from Alexandria via LeMat-Bulk.

As for the formation energy from raw total energies: -1.377 eV/atom.

The structure belongs to space group Imm2 (No. 44); the cell edges are 3.900, 3.963 and 13.421 Å and the angles 90.00°, 90.00° and 90.00°. Symmetry generates all atoms from La at (0.000, 0.000, 0.000), Sm at (0.000, 0.000, 0.303), Te at (0.000, 0.000, 0.659) and N at (0.000, 0.500, 0.902).


# 9
The following is a PBE calculation of a relaxed LaSmTh2N4 crystal, from Alexandria via LeMat-Bulk.

As for the formation energy from raw total energies: -1.523 eV/atom.

The structure belongs to space group P2/m (No. 10); the cell edges are 6.334, 3.675 and 6.363 Å and the angles 90.00°, 109.53° and 90.00°. Symmetry generates all atoms from La at (0.000, 0.000, 0.000), Sm at (0.000, 0.500, 0.500), Th at (0.500, 0.000, 0.500), Th at (0.500, 0.500, 0.000), N at (0.264, 0.000, 0.751) and N at (0.269, 0.500, 0.260).


# 10
The following is a PBE calculation of a relaxed La4SmTh3N8 crystal, from Alexandria via LeMat-Bulk.

As for the formation energy from raw total energies: -1.497 eV/atom.

The structure belongs to space group R-3m (No. 166, hexagonal axes); the cell edges are 7.3772, 7.3772 and 18.1556 Å and the angles 90.00°, 90.00° and 120.00°. Symmetry generates all atoms from La at (0.0000, 0.0000, 0.0000), La at (0.0000, 0.5000, 0.0000), Sm at (0.0000, 0.0000, 0.5000), Th at (0.0000, 0.5000, 0.5000), N at (0.0000, 0.0000, 0.2427) and N at (0.0052, 0.5026, 0.7562).


# 11
The following is a PBE calculation of a relaxed La2SmThN4 crystal, from Alexandria via LeMat-Bulk.

As for the formation energy from raw total energies: -1.471 eV/atom.

The structure belongs to space group P2/m (No. 10); the cell edges are 6.356, 3.686 and 6.401 Å and the angles 90.00°, 109.28° and 90.00°. Symmetry generates all atoms from La at (0.000, 0.000, 0.000), La at (0.500, 0.500, 0.000), Sm at (0.000, 0.500, 0.500), Th at (0.500, 0.000, 0.500), N at (0.251, 0.000, 0.737) and N at (0.260, 0.500, 0.268).


# 12
The following is a PBE calculation of a relaxed La3Sm2ThN6 crystal, from Alexandria via LeMat-Bulk.

As for the formation energy from raw total energies: -1.454 eV/atom.

The structure belongs to space group C2/m (No. 12); the cell edges are 6.364, 11.017 and 6.396 Å and the angles 90.00°, 109.37° and 90.00°. Symmetry generates all atoms from La at (0.000, 0.000, 0.000), La at (0.000, 0.332, 0.000), Sm at (0.000, 0.166, 0.500), Th at (0.000, 0.500, 0.500), N at (0.242, 0.337, 0.737) and N at (0.247, 0.500, 0.263).


Computed mass density (g/cm3) in order:
7.78 8.45 9.04 7.27 7.78 6.89 6.90 6.90 9.63 8.82 8.40 8.11